VASP calculation (PBE-GGA) on a geometry-optimized MgGa8Ag6 structure.

CIF file:
```
data_MgGa8Ag6
_chemical_formula_sum 'Mg3 Ga24 Ag18'
_symmetry_space_group_name_H-M 'R -3'
_symmetry_Int_Tables_number 148
_symmetry_space_group_name_Hall '-R 3'
_cell_length_a 7.7156
_cell_length_b 7.7156
_cell_length_c 16.3112
_cell_angle_alpha 90.00
_cell_angle_beta 90.00
_cell_angle_gamma 120.00
loop_
_atom_site_label
_atom_site_type_symbol
_atom_site_fract_x
_atom_site_fract_y
_atom_site_fract_z
Mg1 Mg 0.0000 0.0000 0.0000
Ga1 Ga 0.0000 0.0000 0.2274
Ga2 Ga 0.0082 0.6589 0.8059
Ag1 Ag 0.0403 0.7953 0.6403
```

Values from the calculation:
- theoretical density (g cm⁻³) = 7.3
- magnetization (μB/atom) = 0.000
- Fermi-level density of states (states/eV/cell) = 12.4
- offset from the most stable computed form (kJ/mol of atoms) = 0.0
- V (A^3/atom) = 18.687